Record 1
This record from Alexandria via LeMat-Bulk describes LaTmCdPd after structural relaxation. The functional is GGA-PBE.

total magnetic moment: 0.000 Bohr magnetons per cell
DFT total energy: -4.375 eV per atom
ΔE_f: -11.5 kcal/mol of atoms
Fermi-level density of states: 3.66 states/eV/cell

Cell: 5.233 5.233 5.233 Å, 60.00 60.00 60.00°
Fractional coordinates of all 4 atoms:
La 0.000 0.000 0.000
Tm 0.500 0.500 0.500
Cd 0.250 0.250 0.250
Pd 0.750 0.750 0.750

Record 2
This record from Alexandria via LeMat-Bulk describes LaY2CdPd after structural relaxation. The functional is GGA-PBE.

total magnetic moment: 1.276 Bohr magnetons per cell
DFT total energy: -4.490 eV per atom
ΔE_f: 7.0 kcal/mol of atoms
Fermi-level density of states: 7.35 states/eV/cell

Cell: 5.621 5.621 5.088 Å, 90.00 90.00 90.00°
Fractional coordinates of all 5 atoms:
La 0.000 0.000 0.000
Y 0.000 0.500 0.500
Y 0.500 0.000 0.500
Cd 0.500 0.500 0.500
Pd 0.500 0.500 0.000

Record 3
This record from Alexandria via LeMat-Bulk describes La2ZnCdPd6 after structural relaxation. The functional is GGA-PBE.

total magnetic moment: 0.000 Bohr magnetons per cell
DFT total energy: -4.874 eV per atom
ΔE_f: -12.8 kcal/mol of atoms
Fermi-level density of states: 4.47 states/eV/cell

Cell: 5.718 5.718 8.913 Å, 108.75 108.75 60.00°
Fractional coordinates of all 10 atoms:
La 0.210 0.210 0.129
La 0.790 0.790 0.871
Zn 0.500 0.500 0.000
Cd 0.000 0.000 0.500
Pd 0.236 0.746 0.227
Pd 0.254 0.254 0.773
Pd 0.254 0.764 0.773
Pd 0.746 0.236 0.227
Pd 0.746 0.746 0.227
Pd 0.764 0.254 0.773

Record 4
This record from Alexandria via LeMat-Bulk describes La2Zn2CdPd5 after structural relaxation. The functional is GGA-PBE.

total magnetic moment: 0.000 Bohr magnetons per cell
DFT total energy: -4.561 eV per atom
ΔE_f: -14.6 kcal/mol of atoms
Fermi-level density of states: 7.79 states/eV/cell

Cell: 10.014 10.014 3.850 Å, 90.00 90.00 90.00°
Fractional coordinates of all 20 atoms:
La 0.180 0.320 0.000
La 0.320 0.820 0.000
La 0.680 0.180 0.000
La 0.820 0.680 0.000
Zn 0.117 0.617 0.000
Zn 0.383 0.117 0.000
Zn 0.617 0.883 0.000
Zn 0.883 0.383 0.000
Cd 0.000 0.000 0.000
Cd 0.500 0.500 0.000
Pd 0.000 0.500 0.500
Pd 0.066 0.790 0.500
Pd 0.210 0.066 0.500
Pd 0.290 0.566 0.500
Pd 0.434 0.290 0.500
Pd 0.500 0.000 0.500
Pd 0.566 0.710 0.500
Pd 0.710 0.434 0.500
Pd 0.790 0.934 0.500
Pd 0.934 0.210 0.500

Record 5
This record from Alexandria via LeMat-Bulk describes LaZnCd2Pd2 after structural relaxation. The functional is GGA-PBE.

total magnetic moment: 0.000 Bohr magnetons per cell
DFT total energy: -3.319 eV per atom
ΔE_f: -5.8 kcal/mol of atoms
Fermi-level density of states: 3.19 states/eV/cell

Cell: 6.442 6.442 6.442 Å, 130.82 130.82 72.10°
Fractional coordinates of all 6 atoms:
La 0.000 0.000 0.000
Zn 0.500 0.500 0.000
Cd 0.250 0.750 0.500
Cd 0.750 0.250 0.500
Pd 0.265 0.265 0.000
Pd 0.735 0.735 0.000

Record 6
This record from Alexandria via LeMat-Bulk describes LaZn2CdPd5 after structural relaxation. The functional is GGA-PBE.

total magnetic moment: 0.000 Bohr magnetons per cell
DFT total energy: -4.258 eV per atom
ΔE_f: -10.2 kcal/mol of atoms
Fermi-level density of states: 4.26 states/eV/cell

Cell: 4.215 4.215 9.354 Å, 90.00 90.00 90.00°
Fractional coordinates of all 9 atoms:
La 0.000 0.000 0.000
Zn 0.500 0.500 0.371
Zn 0.500 0.500 0.629
Cd 0.000 0.000 0.500
Pd 0.000 0.500 0.228
Pd 0.000 0.500 0.772
Pd 0.500 0.000 0.228
Pd 0.500 0.000 0.772
Pd 0.500 0.500 0.000

Record 7
This record from Alexandria via LeMat-Bulk describes LaZrCd2Pd after structural relaxation. The functional is GGA-PBE.

total magnetic moment: 1.170 Bohr magnetons per cell
DFT total energy: -4.101 eV per atom
ΔE_f: 0.0 kcal/mol of atoms
Fermi-level density of states: 3.45 states/eV/cell

Cell: 5.192 5.192 5.060 Å, 90.00 90.00 90.00°
Fractional coordinates of all 5 atoms:
La 0.000 0.000 0.000
Zr 0.500 0.500 0.000
Cd 0.000 0.500 0.500
Cd 0.500 0.000 0.500
Pd 0.500 0.500 0.500

Record 8
This record from Alexandria via LeMat-Bulk describes LaPm5Cd3 after structural relaxation. The functional is GGA-PBE.

total magnetic moment: 0.000 Bohr magnetons per cell
DFT total energy: -3.656 eV per atom
ΔE_f: -3.8 kcal/mol of atoms
Fermi-level density of states: 21.10 states/eV/cell

Cell: 9.447 9.447 7.123 Å, 90.00 90.00 120.00°
Fractional coordinates of all 18 atoms:
La 0.000 0.000 0.000
La 0.000 0.000 0.500
Pm 0.000 0.332 0.250
Pm 0.000 0.668 0.750
Pm 0.332 0.000 0.250
Pm 0.332 0.332 0.750
Pm 0.333 0.667 0.000
Pm 0.333 0.667 0.500
Pm 0.667 0.333 0.000
Pm 0.667 0.333 0.500
Pm 0.668 0.000 0.750
Pm 0.668 0.668 0.250
Cd 0.000 0.338 0.750
Cd 0.000 0.662 0.250
Cd 0.338 0.000 0.750
Cd 0.338 0.338 0.250
Cd 0.662 0.000 0.250
Cd 0.662 0.662 0.750

Record 9
This record from Alexandria via LeMat-Bulk describes La2PmCd2 after structural relaxation. The functional is GGA-PBE.

total magnetic moment: 0.000 Bohr magnetons per cell
DFT total energy: -3.486 eV per atom
ΔE_f: -4.6 kcal/mol of atoms
Fermi-level density of states: 5.64 states/eV/cell

Cell: 6.121 6.121 6.121 Å, 130.05 106.67 93.99°
Fractional coordinates of all 5 atoms:
La 0.191 0.191 0.000
La 0.809 0.809 0.000
Pm 0.500 0.000 0.500
Cd 0.209 0.500 0.709
Cd 0.791 0.500 0.291

Record 10
This record from Alexandria via LeMat-Bulk describes La3PmCd2 after structural relaxation. The functional is GGA-PBE.

total magnetic moment: 0.275 Bohr magnetons per cell
DFT total energy: -3.765 eV per atom
ΔE_f: -4.7 kcal/mol of atoms
Fermi-level density of states: 8.22 states/eV/cell

Cell: 3.845 3.845 13.147 Å, 90.00 90.00 90.00°
Fractional coordinates of all 6 atoms:
La 0.000 0.000 0.000
La 0.000 0.000 0.309
La 0.000 0.000 0.691
Pm 0.500 0.500 0.500
Cd 0.500 0.500 0.157
Cd 0.500 0.500 0.843

Record 11
This record from Alexandria via LeMat-Bulk describes La12PmCd3 after structural relaxation. The functional is GGA-PBE.

total magnetic moment: 0.000 Bohr magnetons per cell
DFT total energy: -4.257 eV per atom
ΔE_f: -2.1 kcal/mol of atoms
Fermi-level density of states: 23.31 states/eV/cell

Cell: 5.109 5.109 20.511 Å, 90.00 90.00 90.00°
Fractional coordinates of all 16 atoms:
La 0.000 0.000 0.000
La 0.000 0.000 0.247
La 0.000 0.000 0.500
La 0.000 0.000 0.753
La 0.000 0.500 0.123
La 0.000 0.500 0.370
La 0.000 0.500 0.630
La 0.000 0.500 0.877
La 0.500 0.000 0.123
La 0.500 0.000 0.370
La 0.500 0.000 0.630
La 0.500 0.000 0.877
Pm 0.500 0.500 0.500
Cd 0.500 0.500 0.000
Cd 0.500 0.500 0.245
Cd 0.500 0.500 0.755

Record 12
This record from Alexandria via LeMat-Bulk describes LaPm2Cd4 after structural relaxation. The functional is GGA-PBE.

total magnetic moment: 0.000 Bohr magnetons per cell
DFT total energy: -2.704 eV per atom
ΔE_f: -2.8 kcal/mol of atoms
Fermi-level density of states: 7.61 states/eV/cell

Cell: 9.292 9.292 9.292 Å, 33.46 33.46 33.46°
Fractional coordinates of all 7 atoms:
La 0.000 0.000 0.000
Pm 0.247 0.247 0.247
Pm 0.753 0.753 0.753
Cd 0.126 0.126 0.126
Cd 0.385 0.385 0.385
Cd 0.615 0.615 0.615
Cd 0.874 0.874 0.874

Please write out number 12 again, unchanged.
This record from Alexandria via LeMat-Bulk describes LaPm2Cd4 after structural relaxation. The functional is GGA-PBE.

total magnetic moment: 0.000 Bohr magnetons per cell
DFT total energy: -2.704 eV per atom
ΔE_f: -2.8 kcal/mol of atoms
Fermi-level density of states: 7.61 states/eV/cell

Cell: 9.292 9.292 9.292 Å, 33.46 33.46 33.46°
Fractional coordinates of all 7 atoms:
La 0.000 0.000 0.000
Pm 0.247 0.247 0.247
Pm 0.753 0.753 0.753
Cd 0.126 0.126 0.126
Cd 0.385 0.385 0.385
Cd 0.615 0.615 0.615
Cd 0.874 0.874 0.874

- Number 1 is which compound?
  LaTmCdPd

- Look up the Fermi-level density of states of the ninth one.
  5.64 states/eV/cell

Repeat the eighth record exactly.
This record from Alexandria via LeMat-Bulk describes LaPm5Cd3 after structural relaxation. The functional is GGA-PBE.

total magnetic moment: 0.000 Bohr magnetons per cell
DFT total energy: -3.656 eV per atom
ΔE_f: -3.8 kcal/mol of atoms
Fermi-level density of states: 21.10 states/eV/cell

Cell: 9.447 9.447 7.123 Å, 90.00 90.00 120.00°
Fractional coordinates of all 18 atoms:
La 0.000 0.000 0.000
La 0.000 0.000 0.500
Pm 0.000 0.332 0.250
Pm 0.000 0.668 0.750
Pm 0.332 0.000 0.250
Pm 0.332 0.332 0.750
Pm 0.333 0.667 0.000
Pm 0.333 0.667 0.500
Pm 0.667 0.333 0.000
Pm 0.667 0.333 0.500
Pm 0.668 0.000 0.750
Pm 0.668 0.668 0.250
Cd 0.000 0.338 0.750
Cd 0.000 0.662 0.250
Cd 0.338 0.000 0.750
Cd 0.338 0.338 0.250
Cd 0.662 0.000 0.250
Cd 0.662 0.662 0.750